{"formula": "PmPr2MnS5", "functional": "PBE-GGA", "state": "relaxed", "e_form_raw_ev_per_fu": -15.4, "final_energy_ev_per_atom": -6.6142, "space_group": "No. 36", "cell": [[1.986, -8.416, 0.000], [1.986, 8.416, 0.000], [0.000, 0.000, 12.147]], "species": ["Pm", "Pm", "Pr", "Pr", "Pr", "Pr", "Mn", "Mn", "S", "S", "S", "S", "S", "S", "S", "S", "S", "S"], "frac_coords": [[0.181, 0.819, 0.500], [0.819, 0.181, 0.000], [0.118, 0.882, 0.164], [0.124, 0.876, 0.818], [0.876, 0.124, 0.318], [0.882, 0.118, 0.664], [0.453, 0.547, 0.897], [0.547, 0.453, 0.397], [0.013, 0.987, 0.488], [0.300, 0.700, 0.164], [0.317, 0.683, 0.831], [0.346, 0.654, 0.490], [0.492, 0.508, 0.225], [0.508, 0.492, 0.725], [0.654, 0.346, 0.990], [0.683, 0.317, 0.331], [0.700, 0.300, 0.664], [0.987, 0.013, 0.988]]}